Below is a relaxed structure of Fe2CuAgCl, with properties calculated at the GGA-PBE level.

a = 4.131 Å, b = 4.131 Å, c = 5.056 Å
α = 90.00°, β = 90.00°, γ = 90.00°
Sites, in units of the cell vectors:
Fe 0.000 0.500 0.000
Fe 0.500 0.000 0.000
Cu 0.000 0.000 0.500
Ag 0.500 0.500 0.500
Cl 0.500 0.500 0.000

Results
Uncorrected formation energy   0.96 eV/atom
Electronic total energy   -20.92 eV per cell



Below is a relaxed structure of Fe2CuAgCl8, with properties calculated at the GGA-PBE level.

a = 7.348 Å, b = 7.348 Å, c = 7.348 Å
α = 112.44°, β = 112.44°, γ = 103.68°
Sites, in units of the cell vectors:
Fe 0.000 0.000 0.000
Fe 0.750 0.250 0.500
Cu 0.500 0.500 0.000
Ag 0.250 0.750 0.500
Cl 0.058 0.849 0.209
Cl 0.121 0.399 0.722
Cl 0.151 0.360 0.209
Cl 0.151 0.942 0.791
Cl 0.601 0.323 0.722
Cl 0.601 0.879 0.278
Cl 0.640 0.849 0.791
Cl 0.677 0.399 0.278

Results
Uncorrected formation energy   -0.58 eV/atom
Electronic total energy   -45.59 eV per cell



Below is a relaxed structure of FeCuAg2Cl6, with properties calculated at the GGA-PBE level.

a = 6.523 Å, b = 6.596 Å, c = 6.613 Å
α = 60.09°, β = 66.67°, γ = 74.44°
Sites, in units of the cell vectors:
Fe 0.000 0.000 0.000
Cu 0.796 0.353 0.406
Ag 0.271 0.311 0.241
Ag 0.964 0.671 0.680
Cl 0.216 0.953 0.221
Cl 0.221 0.279 0.663
Cl 0.229 0.719 0.892
Cl 0.761 0.292 0.109
Cl 0.772 0.723 0.346
Cl 0.779 0.046 0.776

Results
Uncorrected formation energy   -0.48 eV/atom
Electronic total energy   -34.14 eV per cell



Below is a relaxed structure of FeCu2AgCl6, with properties calculated at the GGA-PBE level.

a = 8.270 Å, b = 8.270 Å, c = 6.494 Å
α = 96.34°, β = 96.34°, γ = 87.77°
Sites, in units of the cell vectors:
Fe 0.223 0.777 0.750
Fe 0.777 0.223 0.250
Cu 0.088 0.272 0.799
Cu 0.272 0.088 0.299
Cu 0.728 0.912 0.701
Cu 0.912 0.728 0.201
Ag 0.421 0.579 0.250
Ag 0.579 0.421 0.750
Cl 0.043 0.210 0.129
Cl 0.129 0.648 0.417
Cl 0.210 0.043 0.629
Cl 0.269 0.485 0.860
Cl 0.352 0.871 0.083
Cl 0.485 0.269 0.360
Cl 0.515 0.731 0.640
Cl 0.648 0.129 0.917
Cl 0.731 0.515 0.140
Cl 0.790 0.957 0.371
Cl 0.871 0.352 0.583
Cl 0.957 0.790 0.871

Results
Uncorrected formation energy   -0.57 eV/atom
Electronic total energy   -72.53 eV per cell



Below is a relaxed structure of Ga2CuAgCl8, with properties calculated at the GGA-PBE level.

a = 7.104 Å, b = 7.104 Å, c = 7.378 Å
α = 90.00°, β = 90.00°, γ = 120.00°
Sites, in units of the cell vectors:
Ga 0.333 0.667 0.315
Ga 0.667 0.333 0.685
Cu 0.000 0.000 0.000
Ag 0.000 0.000 0.500
Cl 0.158 0.837 0.217
Cl 0.163 0.321 0.217
Cl 0.321 0.158 0.783
Cl 0.333 0.667 0.607
Cl 0.667 0.333 0.393
Cl 0.679 0.842 0.217
Cl 0.837 0.679 0.783
Cl 0.842 0.163 0.783

Results
Uncorrected formation energy   -0.82 eV/atom
Electronic total energy   -37.58 eV per cell



Below is a relaxed structure of CuAg2HgCl6, with properties calculated at the GGA-PBE level.

a = 6.643 Å, b = 6.816 Å, c = 7.040 Å
α = 71.14°, β = 68.91°, γ = 65.95°
Sites, in units of the cell vectors:
Cu 0.000 0.000 0.000
Ag 0.259 0.379 0.151
Ag 0.656 0.834 0.798
Hg 0.517 0.492 0.507
Cl 0.072 0.761 0.801
Cl 0.311 0.261 0.551
Cl 0.325 0.764 0.111
Cl 0.657 0.199 0.911
Cl 0.731 0.720 0.450
Cl 0.938 0.246 0.186

Results
Uncorrected formation energy   -0.48 eV/atom
Electronic total energy   -25.97 eV per cell



Below is a relaxed structure of Cu2AgHgCl6, with properties calculated at the GGA-PBE level.

a = 8.941 Å, b = 8.941 Å, c = 6.567 Å
α = 101.56°, β = 101.56°, γ = 87.82°
Sites, in units of the cell vectors:
Cu 0.119 0.278 0.299
Cu 0.278 0.119 0.799
Cu 0.722 0.881 0.201
Cu 0.881 0.722 0.701
Ag 0.412 0.588 0.750
Ag 0.588 0.412 0.250
Hg 0.217 0.783 0.250
Hg 0.783 0.217 0.750
Cl 0.069 0.208 0.594
Cl 0.113 0.645 0.887
Cl 0.208 0.069 0.094
Cl 0.291 0.473 0.371
Cl 0.355 0.887 0.613
Cl 0.473 0.291 0.871
Cl 0.527 0.709 0.129
Cl 0.645 0.113 0.387
Cl 0.709 0.527 0.629
Cl 0.792 0.931 0.906
Cl 0.887 0.355 0.113
Cl 0.931 0.792 0.406

Results
Uncorrected formation energy   -0.50 eV/atom
Electronic total energy   -54.95 eV per cell



Below is a relaxed structure of CuAgHg2Cl6, with properties calculated at the GGA-PBE level.

a = 10.162 Å, b = 10.162 Å, c = 6.520 Å
α = 107.73°, β = 107.73°, γ = 96.88°
Sites, in units of the cell vectors:
Cu 0.191 0.809 0.750
Cu 0.809 0.191 0.250
Ag 0.057 0.943 0.250
Ag 0.943 0.057 0.750
Hg 0.267 0.443 0.379
Hg 0.443 0.267 0.879
Hg 0.557 0.733 0.121
Hg 0.733 0.557 0.621
Cl 0.019 0.203 0.167
Cl 0.140 0.627 0.407
Cl 0.203 0.019 0.667
Cl 0.294 0.432 0.881
Cl 0.373 0.860 0.093
Cl 0.432 0.294 0.381
Cl 0.568 0.706 0.619
Cl 0.627 0.140 0.907
Cl 0.706 0.568 0.119
Cl 0.797 0.981 0.333
Cl 0.860 0.373 0.593
Cl 0.981 0.797 0.833

Results
Uncorrected formation energy   -0.52 eV/atom
Electronic total energy   -47.70 eV per cell



no.,magnetic moment (μB per formula unit)
1,4.62
2,10.01
3,1.00
4,5.04
5,0.10
6,0.96
7,1.02
8,0.11